No. 1
CaNiSe | GGA-PBEsol | relaxed

The structure in POSCAR format:
```
CaNiSe
1.0
-0.906 -2.645 -2.038
2.956 0.887 -1.563
1.411 -2.171 4.677
Ni Ca Se
1 1 1
Cartesian
2.050 -2.162 -0.590
3.455 -3.920 1.069
1.418 -1.776 1.675
```

Results
Spin magnetization   0.00 Bohr magnetons per cell
Uncorrected energy   -4.5050 eV/atom
DOS at the Fermi energy   1.02 states/eV per atom
E_form (uncorrected)   -0.4581 eV/atom

=====

No. 2
CaNiSe2 | GGA-PBEsol | relaxed

The structure in POSCAR format:
```
CaNiSe2
1.0
3.863 0.000 0.000
1.931 3.345 0.000
1.931 1.115 6.141
Ni Ca Se
1 1 2
Cartesian
3.863 2.230 3.071
0.000 0.000 0.000
5.794 3.345 4.313
1.931 1.115 1.828
```

Results
Spin magnetization   1.94 Bohr magnetons per cell
Uncorrected energy   -4.8844 eV/atom
DOS at the Fermi energy   0.21 states/eV per atom
E_form (uncorrected)   -0.8867 eV/atom

=====

No. 3
CaNiSe2 | GGA-PBEsol | relaxed

The structure in POSCAR format:
```
CaNiSe2
1.0
5.917 -0.064 0.000
-2.455 5.384 0.000
-1.731 -2.660 4.994
Ni Ca Se
2 2 4
Cartesian
0.000 0.000 0.000
-1.227 2.692 2.497
1.731 2.660 0.000
2.958 -0.032 2.497
0.979 2.203 2.878
-0.113 -0.873 2.116
4.576 1.755 0.381
-1.980 2.235 4.613
```

Results
Spin magnetization   0.00 Bohr magnetons per cell
Uncorrected energy   -4.9694 eV/atom
DOS at the Fermi energy   0.38 states/eV per atom
E_form (uncorrected)   -0.9716 eV/atom

=====

Question: Number 1 is which compound?
Answer: CaNiSe

=====

Question: uncorrected energy of number 2 (CaNiSe2)?
Answer: -4.8844 eV/atom